As2POsC | PBE | optimized geometry

Lattice parameters (Å, degrees): 4.782 4.782 3.320 90.00 90.00 90.00
Element x y z (fractional)
As (0.000, 0.500, 0.000)
As (0.500, 0.000, 0.000)
P (0.000, 0.000, 0.000)
Os (0.500, 0.500, 0.500)
C (0.000, 0.000, 0.500)

- E_tot: -5.60 eV per atom
- Calculated density: 8.38 Mg/m³
- Formation energy from the elements: 1.43 eV per atom